# BeGe2PO (GGA-PBE, optimized geometry)
data_BeGe2PO
_chemical_formula_sum 'Be1 Ge2 P1 O1'
_symmetry_space_group_name_H-M 'P 4/m m m'
_symmetry_Int_Tables_number 123
_symmetry_space_group_name_Hall '-P 4 2'
_cell_length_a 4.4036
_cell_length_b 4.4036
_cell_length_c 4.0636
_cell_angle_alpha 90.00
_cell_angle_beta 90.00
_cell_angle_gamma 90.00
loop_
_atom_site_label
_atom_site_fract_x
_atom_site_fract_y
_atom_site_fract_z
_atom_site_occupancy
Be1 0.0000 0.0000 0.0000 1
Ge1 0.0000 0.5000 0.5000 1
P1 0.5000 0.5000 0.0000 1
O1 0.5000 0.5000 0.5000 1
# **Formation energy (no corrections)**: 0.45 eV per atom
# **Density**: 4241 kg/m3